Version one
The following is a PBE calculation of an optimized crystal structure of NbTeAuI, from the Alexandria database.

Calculated values
- DOS at the Fermi energy: 2.15 states/eV per cell
- Density: 7.76 g cm⁻³
- Symmetry: Pm, No. 6

a = 3.7365 Å, b = 3.6493 Å, c = 8.7346 Å
α = 90.00°, β = 102.17°, γ = 90.00°
Fractional positions:
Nb 0.0000 0.0000 0.0000
Te 0.8429 0.0000 0.6808
Au 0.4288 0.5000 0.8554
I 0.1233 0.5000 0.2508

***

Version two
The following is a PBE calculation of an optimized crystal structure of NbTeAuI, from the Alexandria database.

Calculated values
- DOS at the Fermi energy: 2.77 states/eV per cell
- Density: 6.82 g cm⁻³
- Symmetry: P1, No. 1

a = 3.6027 Å, b = 5.2216 Å, c = 7.8355 Å
α = 101.05°, β = 98.22°, γ = 109.88°
Fractional positions:
Nb 0.0000 0.0000 0.0000
Te 0.2766 0.7060 0.7470
Au 0.6643 0.3791 0.9184
I 0.5727 0.9732 0.2758

***

Version three
The following is a PBE calculation of an optimized crystal structure of NbTeAuI, from the Alexandria database.

Calculated values
- DOS at the Fermi energy: 2.74 states/eV per cell
- Density: 7.52 g cm⁻³
- Symmetry: Cm, No. 8

a = 4.0495 Å, b = 4.0495 Å, c = 8.7435 Å
α = 102.67°, β = 102.67°, γ = 60.02°
Fractional positions:
Nb 0.0000 0.0000 0.0000
Te 0.6034 0.6034 0.7996
Au 0.3856 0.3856 0.1657
I 0.1180 0.1180 0.3754

***

Which of them is the most stable? Correct choice: version two.

***

Version one
The following is a PBE calculation of an optimized crystal structure of NbTeAuI, from the Alexandria database.

Calculated values
- DOS at the Fermi energy: 3.41 states/eV per cell
- Density: 7.25 g cm⁻³
- Symmetry: Cm, No. 8

a = 8.1111 Å, b = 8.1111 Å, c = 3.6326 Å
α = 102.62°, β = 102.62°, γ = 32.42°
Fractional positions:
Nb 0.0000 0.0000 0.0000
Te 0.1459 0.1459 0.6076
Au 0.5488 0.5488 0.7173
I 0.8545 0.8545 0.3356

***

Version two
The following is a PBE calculation of an optimized crystal structure of NbTeAuI, from the Alexandria database.

Calculated values
- DOS at the Fermi energy: 3.23 states/eV per cell
- Density: 8.73 g cm⁻³
- Symmetry: Cm, No. 8

a = 5.0762 Å, b = 5.0762 Å, c = 6.2834 Å
α = 107.55°, β = 107.55°, γ = 42.50°
Fractional positions:
Nb 0.0000 0.0000 0.0000
Te 0.3621 0.3621 0.6681
Au 0.0485 0.0485 0.4912
I 0.7343 0.7343 0.1095

***

Which of them is the most stable? Correct choice: version one.

***

Version one
The following is a PBE calculation of an optimized crystal structure of NbTeAuI, from the Alexandria database.

Calculated values
- DOS at the Fermi energy: 1.99 states/eV per cell
- Density: 6.40 g cm⁻³
- Symmetry: P1, No. 1

a = 3.7497 Å, b = 5.2278 Å, c = 8.2028 Å
α = 71.48°, β = 77.09°, γ = 69.03°
Fractional positions:
Nb 0.0000 0.0000 0.0000
Te 0.5529 0.6733 0.2259
Au 0.2866 0.3733 0.0552
I 0.1471 0.0340 0.6650

***

Version two
The following is a PBE calculation of an optimized crystal structure of NbTeAuI, from the Alexandria database.

Calculated values
- DOS at the Fermi energy: 1.00 states/eV per cell
- Density: 6.78 g cm⁻³
- Symmetry: Pm, No. 6

a = 5.0704 Å, b = 3.6353 Å, c = 7.5151 Å
α = 90.00°, β = 105.88°, γ = 90.00°
Fractional positions:
Nb 0.0000 0.0000 0.0000
Te 0.9125 0.5000 0.2522
Au 0.4049 0.5000 0.9903
I 0.5833 0.0000 0.6903

***

Which of them is the most stable? Correct choice: version one.

***

Version one
The following is a PBE calculation of an optimized crystal structure of NbTeAuI, from the Alexandria database.

Calculated values
- DOS at the Fermi energy: 3.47 states/eV per cell
- Density: 7.78 g cm⁻³
- Symmetry: Pmm2, No. 25

a = 3.8441 Å, b = 4.1749 Å, c = 7.2355 Å
α = 90.00°, β = 90.00°, γ = 90.00°
Fractional positions:
Nb 0.0000 0.0000 0.0000
Te 0.5000 0.0000 0.2956
Au 0.5000 0.5000 0.0669
I 0.0000 0.5000 0.7051

***

Version two
The following is a PBE calculation of an optimized crystal structure of NbTeAuI, from the Alexandria database.

Calculated values
- DOS at the Fermi energy: 2.57 states/eV per cell
- Density: 8.44 g cm⁻³
- Symmetry: Amm2, No. 38

a = 3.3979 Å, b = 9.7146 Å, c = 9.7146 Å
α = 19.50°, β = 90.00°, γ = 90.00°
Fractional positions:
Nb 0.0000 0.0000 0.0000
Te 0.5000 0.4149 0.4149
Au 0.5000 0.5947 0.5947
I 0.0000 0.7232 0.7232

***

Which of them is the most stable? Correct choice: version one.

***

Version one
The following is a PBE calculation of an optimized crystal structure of NbTe2AuI, from the Alexandria database.

Calculated values
- DOS at the Fermi energy: 3.85 states/eV per cell
- Density: 6.87 g cm⁻³
- Symmetry: P4/mmm, No. 123

a = 5.3600 Å, b = 5.3600 Å, c = 5.6530 Å
α = 90.00°, β = 90.00°, γ = 90.00°
Fractional positions:
Nb 0.0000 0.0000 0.0000
Te 0.0000 0.5000 0.0000
Te 0.5000 0.0000 0.0000
Au 0.5000 0.5000 0.5000
I 0.0000 0.0000 0.5000

***

Version two
The following is a PBE calculation of an optimized crystal structure of NbTe2AuI, from the Alexandria database.

Calculated values
- DOS at the Fermi energy: 5.63 states/eV per cell
- Density: 6.92 g cm⁻³
- Symmetry: P4/mmm, No. 123

a = 5.4522 Å, b = 5.4522 Å, c = 5.4263 Å
α = 90.00°, β = 90.00°, γ = 90.00°
Fractional positions:
Nb 0.0000 0.0000 0.0000
Te 0.0000 0.5000 0.5000
Te 0.5000 0.0000 0.5000
Au 0.5000 0.5000 0.5000
I 0.5000 0.5000 0.0000

***

Which of them is the most stable? Correct choice: version one.

***

Version one
The following is a PBE calculation of an optimized crystal structure of Nb2VAuI, from the Alexandria database.

Calculated values
- DOS at the Fermi energy: 6.69 states/eV per cell
- Density: 7.71 g cm⁻³
- Symmetry: P4/mmm, No. 123

a = 5.0158 Å, b = 5.0158 Å, c = 4.8007 Å
α = 90.00°, β = 90.00°, γ = 90.00°
Fractional positions:
Nb 0.0000 0.5000 0.0000
Nb 0.5000 0.0000 0.0000
V 0.0000 0.0000 0.5000
Au 0.5000 0.5000 0.5000
I 0.0000 0.0000 0.0000

***

Version two
The following is a PBE calculation of an optimized crystal structure of Nb2VAuI, from the Alexandria database.

Calculated values
- DOS at the Fermi energy: 6.99 states/eV per cell
- Density: 7.53 g cm⁻³
- Symmetry: P4/mmm, No. 123

a = 5.0865 Å, b = 5.0865 Å, c = 4.7785 Å
α = 90.00°, β = 90.00°, γ = 90.00°
Fractional positions:
Nb 0.0000 0.5000 0.0000
Nb 0.5000 0.0000 0.0000
V 0.0000 0.0000 0.5000
Au 0.0000 0.0000 0.0000
I 0.5000 0.5000 0.5000

***

Which of them is the most stable? Correct choice: version two.

***

Version one
The following is a PBE calculation of an optimized crystal structure of NiAuI4, from the Alexandria database.

Calculated values
- DOS at the Fermi energy: 6.32 states/eV per cell
- Density: 5.74 g cm⁻³
- Symmetry: C2/m, No. 12

a = 8.1040 Å, b = 8.1040 Å, c = 7.9020 Å
α = 115.59°, β = 115.59°, γ = 28.39°
Fractional positions:
Ni 0.0000 0.0000 0.0000
Au 0.5000 0.5000 0.5000
I 0.0928 0.0928 0.3977
I 0.3801 0.3801 0.9898
I 0.6199 0.6199 0.0102
I 0.9072 0.9072 0.6023

***

Version two
The following is a PBE calculation of an optimized crystal structure of NiAuI4, from the Alexandria database.

Calculated values
- DOS at the Fermi energy: 6.83 states/eV per cell
- Density: 5.08 g cm⁻³
- Symmetry: C2/m, No. 12

a = 7.4024 Å, b = 7.4024 Å, c = 9.5635 Å
α = 107.37°, β = 107.37°, γ = 30.03°
Fractional positions:
Ni 0.0000 0.0000 0.0000
Au 0.5000 0.5000 0.5000
I 0.1367 0.1367 0.4993
I 0.3959 0.3959 0.0418
I 0.6041 0.6041 0.9582
I 0.8633 0.8633 0.5007

***

Which of them is the most stable? Correct choice: version two.